DFT (GGA-PBE) results for a relaxed Fe2Ni8Rh crystal.

Structure (extended XYZ):
```
11
Lattice="-2.8839 0.2772 3.1707 -6.1685 -2.1051 0.3891 -1.0937 -6.4633 2.4780" Properties=species:S:1:pos:R:3 pbc="T T T"
Rh -1.4420 0.1386 1.5854
Ni -3.3364 -4.1479 3.1447
Ni -5.2835 -5.3035 4.3813
Ni -6.8096 -4.1433 2.8931
Ni -5.2563 -0.8424 2.5859
Fe -4.9113 -5.5225 1.8313
Ni -7.0195 -6.5610 2.9149
Ni -3.1266 -1.7302 3.1229
Ni -4.8626 -2.9877 1.6566
Fe -2.3509 -3.0459 1.0358
Ni -3.7961 -0.9855 0.9739
```

Output
V ... 11.91 Å³ per atom
Offset from the most stable computed form ... 0.204 eV per atom
Space group ... No. 71
ΔE_f ... 170 kJ/mol of formula units